No. 1
Computed, not measured: Ac3La3Co2 after structural relaxation at the PBE level of DFT.

Lattice parameters (Å, degrees): 10.438 10.438 10.438 96.12 96.12 83.88
Sites, in units of the cell vectors:
Ac  0.255  0.421  0.410
Co  0.826  0.826  0.174
La  0.076  0.735  0.598
La  0.402  0.076  0.265
La  0.741  0.909  0.408
Co  0.173  0.170  0.354
La  0.909  0.592  0.259
Ac  0.745  0.579  0.590
Ac  0.421  0.590  0.745
Ac  0.261  0.911  0.913
Ac  0.410  0.745  0.421
Ac  0.579  0.410  0.255
La  0.265  0.598  0.076
Ac  0.089  0.913  0.261
Ac  0.911  0.087  0.739
La  0.924  0.265  0.402
La  0.408  0.259  0.909
Ac  0.913  0.739  0.911
Co  0.170  0.646  0.827
Co  0.354  0.827  0.170
La  0.259  0.091  0.592
Co  0.174  0.174  0.826
La  0.592  0.741  0.091
La  0.091  0.408  0.741
Co  0.827  0.830  0.646
La  0.735  0.402  0.924
La  0.598  0.924  0.735
Ac  0.739  0.089  0.087
Ac  0.590  0.255  0.579
Co  0.830  0.354  0.173
Co  0.646  0.173  0.830
Ac  0.087  0.261  0.089

For the total moment, the calculation gives 0.00 μB per formula unit. Its energy relative to the elements is -53 meV/atom. The calculation puts the density of states at the Fermi level at 38.777 states/eV/cell. As for the space-group type: No. 148. The volume is 1119.17 Å³ per cell.

=====

No. 2
Computed, not measured: AcLa6Co2 after structural relaxation at the PBE level of DFT.

Lattice parameters (Å, degrees): 7.447 7.447 7.688 61.03 61.03 60.00
Sites, in units of the cell vectors:
La  0.186  0.198  0.884
La  0.395  0.381  0.347
La  0.732  0.186  0.884
Co  0.301  0.301  0.098
Co  0.459  0.459  0.622
La  0.381  0.877  0.347
La  0.877  0.395  0.347
La  0.198  0.732  0.884
Ac  0.806  0.806  0.583

For the total moment, the calculation gives 0.00 μB per formula unit. Its energy relative to the elements is 48 meV/atom. The calculation puts the density of states at the Fermi level at 10.476 states/eV/cell. As for the space-group type: No. 146. The volume is 306.13 Å³ per cell.

=====

No. 3
Computed, not measured: Ac8LaCo4 after structural relaxation at the PBE level of DFT.

Lattice parameters (Å, degrees): 4.280 10.468 10.468 87.61 78.21 78.21
Sites, in units of the cell vectors:
Ac  0.336  0.620  0.708
Co  0.150  0.524  0.176
Co  0.326  0.824  0.524
Ac  0.354  0.334  0.958
Ac  0.044  0.292  0.620
Ac  0.646  0.666  0.042
Co  0.674  0.176  0.476
Co  0.850  0.476  0.824
Ac  0.688  0.958  0.666
La  0.000  0.000  0.000
Ac  0.312  0.042  0.334
Ac  0.664  0.380  0.292
Ac  0.956  0.708  0.380

For the total moment, the calculation gives 0.00 μB per formula unit. Its energy relative to the elements is 1 meV/atom. The calculation puts the density of states at the Fermi level at 9.115 states/eV/cell. As for the space-group type: No. 87. The volume is 449.41 Å³ per cell.

=====

No. 4
Computed, not measured: Ac3LaCo2 after structural relaxation at the PBE level of DFT.

Lattice parameters (Å, degrees): 4.225 9.099 10.968 82.45 78.90 76.58
Sites, in units of the cell vectors:
Ac  0.815  0.815  0.555
Ac  0.063  0.069  0.804
La  0.559  0.582  0.300
Co  0.877  0.377  0.869
Ac  0.688  0.679  0.946
Co  0.623  0.129  0.625
Co  0.377  0.871  0.375
Ac  0.185  0.185  0.445
La  0.441  0.418  0.700
Ac  0.937  0.931  0.196
Co  0.123  0.623  0.131
Ac  0.312  0.321  0.054

For the total moment, the calculation gives 0.00 μB per formula unit. Its energy relative to the elements is -57 meV/atom. The calculation puts the density of states at the Fermi level at 11.635 states/eV/cell. As for the space-group type: No. 12. The volume is 400.81 Å³ per cell.

=====

No. 5
Computed, not measured: Ac3LaCo after structural relaxation at the PBE level of DFT.

Lattice parameters (Å, degrees): 7.850 7.850 7.814 111.41 109.68 107.55
Sites, in units of the cell vectors:
Ac  0.753  0.544  0.713
Ac  0.169  0.960  0.713
Ac  0.247  0.456  0.287
La  0.298  0.970  0.268
Ac  0.708  0.457  0.165
Co  0.374  0.237  0.612
Ac  0.292  0.543  0.835
Co  0.626  0.763  0.388
Ac  0.831  0.040  0.287
La  0.702  0.030  0.732

For the total moment, the calculation gives 0.00 μB per formula unit. Its energy relative to the elements is -55 meV/atom. The calculation puts the density of states at the Fermi level at 12.255 states/eV/cell. As for the space-group type: No. 12. The volume is 369.36 Å³ per cell.

=====

No. 6
Computed, not measured: Ac3La2Co3 after structural relaxation at the PBE level of DFT.

Lattice parameters (Å, degrees): 5.541 7.123 14.188 88.12 90.00 112.89
Sites, in units of the cell vectors:
Co  0.856  0.712  0.054
Ac  0.259  0.517  0.750
Ac  0.654  0.309  0.577
La  0.317  0.634  0.435
La  0.938  0.876  0.616
Ac  0.964  0.928  0.874
Ac  0.748  0.495  0.249
Co  0.127  0.255  0.565
Co  0.802  0.604  0.748
Ac  0.042  0.084  0.381
Co  0.842  0.684  0.444
Ac  0.052  0.104  0.119
Co  0.159  0.318  0.942
Co  0.204  0.408  0.252
La  0.681  0.362  0.935
La  0.335  0.669  0.065

For the total moment, the calculation gives 0.00 μB per formula unit. Its energy relative to the elements is 18 meV/atom. The calculation puts the density of states at the Fermi level at 12.503 states/eV/cell. As for the space-group type: No. 8. The volume is 515.57 Å³ per cell.